No. 1
Density functional theory data (PBE) for a geometry-optimized Ag2RuCl structure.

Structure (CIF):
```
data_Ag2RuCl
_chemical_formula_sum 'Ag4 Ru2 Cl2'
_symmetry_space_group_name_H-M 'I -4 m 2'
_symmetry_Int_Tables_number 119
_symmetry_space_group_name_Hall 'I -4 -2'
_cell_length_a 4.653
_cell_length_b 4.653
_cell_length_c 6.627
_cell_angle_alpha 90.00
_cell_angle_beta 90.00
_cell_angle_gamma 90.00
loop_
_atom_site_label
_atom_site_type_symbol
_atom_site_fract_x
_atom_site_fract_y
_atom_site_fract_z
_atom_site_occupancy
Ag1 Ag 0.000 0.000 0.000 1
Ag2 Ag 0.000 0.500 0.250 1
Ru1 Ru 0.000 0.000 0.500 1
Cl1 Cl 0.000 0.500 0.750 1
```

Formation energy (no corrections): 726 meV per atom
Total magnetic moment: 4.7 μB per cell



No. 2
Density functional theory data (PBE) for a geometry-optimized MoWSeN2 structure.

Structure (CIF):
```
data_MoWSeN2
_chemical_formula_sum 'Mo1 W1 Se1 N2'
_symmetry_space_group_name_H-M 'P 4/m m m'
_symmetry_Int_Tables_number 123
_symmetry_space_group_name_Hall '-P 4 2'
_cell_length_a 3.901
_cell_length_b 3.901
_cell_length_c 5.293
_cell_angle_alpha 90.00
_cell_angle_beta 90.00
_cell_angle_gamma 90.00
loop_
_atom_site_label
_atom_site_type_symbol
_atom_site_fract_x
_atom_site_fract_y
_atom_site_fract_z
_atom_site_occupancy
Mo1 Mo 0.000 0.000 0.000 1
W1 W 0.500 0.500 0.500 1
Se1 Se 0.000 0.000 0.500 1
N1 N 0.000 0.500 0.000 1
```

Formation energy (no corrections): 1151 meV per atom
Total magnetic moment: 3.0 μB per cell



Asked for ρ across the records above, the calculation gives 8.15; 7.97 g/cm3 in order.
Asked for energy relative to the lowest polymorph listed for this composition across the records above, the calculation gives 0.411; 0.401 eV/atom in order.